# 1
Below is a geometry-optimized FeSiIN2 structure, with properties calculated at the GGA-PBE level.

Cell lengths 3.5594, 3.5594, 6.8168 Å; angles 90.00, 90.00, 90.00 degrees
Closest atoms and distances in Å follow each position.
Atoms (fractional coordinates):
I1 0.0000 0.0000 0.5000  4 Fe 2.52
Si1 0.0000 0.0000 0.0000  4 N 1.78
Fe1 0.5000 0.5000 0.5000  4 I 2.52
N1 0.0000 0.5000 0.0000  2 Si 1.78
N2 0.5000 0.0000 0.0000  2 Si 1.78

Calculated values
- Energy above the lowest structure with this stoichiometry: 0.0 meV/atom
- E_tot: -5.51 eV per atom
- Uncorrected formation energy: 907 meV per atom



# 2
Below is a geometry-optimized FeSiIN2 structure, with properties calculated at the GGA-PBE level.

Cell lengths 3.7688, 3.7688, 5.4737 Å; angles 90.00, 90.00, 90.00 degrees
Closest atoms and distances in Å follow each position.
Atoms (fractional coordinates):
I1 0.0000 0.0000 0.5000  4 Si 2.66, 2 Fe 2.74
Si1 0.5000 0.5000 0.5000  4 I 2.66
Fe1 0.0000 0.0000 0.0000  4 N 1.88
N1 0.0000 0.5000 0.0000  2 Fe 1.88
N2 0.5000 0.0000 0.0000  2 Fe 1.88

Calculated values
- Energy above the lowest structure with this stoichiometry: 415.0 meV/atom
- E_tot: -5.10 eV per atom
- Uncorrected formation energy: 1322 meV per atom



# 3
Below is a geometry-optimized FeSnIN2 structure, with properties calculated at the GGA-PBE level.

Cell lengths 4.0545, 4.0545, 6.6264 Å; angles 90.00, 90.00, 90.00 degrees
Closest atoms and distances in Å follow each position.
Atoms (fractional coordinates):
I1 0.0000 0.0000 0.5000  4 Fe 2.87
N1 0.0000 0.5000 0.0000  2 Sn 2.03
N2 0.5000 0.0000 0.0000  2 Sn 2.03
Sn1 0.0000 0.0000 0.0000  4 N 2.03
Fe1 0.5000 0.5000 0.5000  4 I 2.87

Calculated values
- Energy above the lowest structure with this stoichiometry: 260.0 meV/atom
- E_tot: -4.60 eV per atom
- Uncorrected formation energy: 1538 meV per atom



# 4
Below is a geometry-optimized FeSnI2N structure, with properties calculated at the GGA-PBE level.

Cell lengths 5.4167, 5.4167, 3.5241 Å; angles 90.00, 90.00, 90.00 degrees
Closest atoms and distances in Å follow each position.
Atoms (fractional coordinates):
I1 0.0000 0.5000 0.0000  2 Fe 2.71
I2 0.5000 0.0000 0.0000  2 Fe 2.71
N1 0.0000 0.0000 0.5000  2 Fe 1.76
Sn1 0.5000 0.5000 0.5000  8 I 3.23, 2 Sn 3.52
Fe1 0.0000 0.0000 0.0000  2 N 1.76

Calculated values
- Energy above the lowest structure with this stoichiometry: 0.0 meV/atom
- E_tot: -4.42 eV per atom
- Uncorrected formation energy: 353 meV per atom



# 5
Below is a geometry-optimized FeSnI2N structure, with properties calculated at the GGA-PBE level.

Cell lengths 5.9334, 5.9334, 3.8272 Å; angles 90.00, 90.00, 90.00 degrees
Closest atoms and distances in Å follow each position.
Atoms (fractional coordinates):
I1 0.0000 0.5000 0.0000  2 Sn 2.97
I2 0.5000 0.0000 0.0000  2 Sn 2.97
N1 0.0000 0.0000 0.5000  2 Sn 1.91
Sn1 0.0000 0.0000 0.0000  2 N 1.91
Fe1 0.5000 0.5000 0.5000  8 I 3.53, 2 Fe 3.83

Calculated values
- Energy above the lowest structure with this stoichiometry: 684.6 meV/atom
- E_tot: -3.74 eV per atom
- Uncorrected formation energy: 1038 meV per atom



# 6
Below is a geometry-optimized FeSnIN2 structure, with properties calculated at the GGA-PBE level.

Cell lengths 3.9836, 3.9836, 5.2790 Å; angles 90.00, 90.00, 90.00 degrees
Closest atoms and distances in Å follow each position.
Atoms (fractional coordinates):
I1 0.0000 0.0000 0.5000  2 Fe 2.64, 4 Sn 2.82
N1 0.0000 0.5000 0.0000  2 Fe 1.99
N2 0.5000 0.0000 0.0000  2 Fe 1.99
Sn1 0.5000 0.5000 0.5000  4 I 2.82
Fe1 0.0000 0.0000 0.0000  4 N 1.99

Calculated values
- Energy above the lowest structure with this stoichiometry: 0.0 meV/atom
- E_tot: -4.86 eV per atom
- Uncorrected formation energy: 1278 meV per atom